1.
An optimized crystal structure of CdCu3Au4. Source: the Alexandria database, functional PBE-GGA.

Output
- Formation energy from the elements: -0.052 eV/atom

Structure (POSCAR):
```
CdCu3Au4
1.0
4.724 0.000 0.000
0.000 5.987 0.000
0.000 0.000 9.181
Cu Au Cd
6 8 2
Direct
0.000 0.000 0.500
0.380 0.000 0.250
0.620 0.000 0.750
0.000 0.000 0.000
0.398 0.500 0.250
0.602 0.500 0.750
0.110 0.239 0.750
0.500 0.239 0.500
0.890 0.239 0.250
0.110 0.761 0.750
0.500 0.761 0.500
0.500 0.239 0.000
0.890 0.761 0.250
0.500 0.761 0.000
0.000 0.500 0.000
0.000 0.500 0.500
```

---

2.
An optimized crystal structure of CdCu3Au3. Source: the Alexandria database, functional PBE-GGA.

Output
- Energy above the most stable polymorph in this dataset: 0.522 eV per atom
- Formation energy from the elements: 0.562 eV/atom

Structure (POSCAR):
```
CdCu3Au3
1.0
6.989 0.000 0.000
0.000 6.989 0.000
0.000 0.000 6.989
Cu Au Cd
6 6 2
Direct
0.000 0.500 0.250
0.250 0.000 0.500
0.500 0.250 0.000
0.500 0.750 0.000
0.750 0.000 0.500
0.000 0.500 0.750
0.000 0.250 0.500
0.500 0.000 0.750
0.250 0.500 0.000
0.500 0.000 0.250
0.750 0.500 0.000
0.000 0.750 0.500
0.500 0.500 0.500
0.000 0.000 0.000
```

---

3.
An optimized crystal structure of Cd2CuAu2. Source: the Alexandria database, functional PBE-GGA.

Output
- Energy above the most stable polymorph in this dataset: 0.211 eV per atom
- Formation energy from the elements: 0.138 eV/atom

Structure (POSCAR):
```
Cd2CuAu2
1.0
3.811 0.000 0.000
0.000 3.811 0.000
1.906 1.906 7.222
Cd Au Cu
2 2 1
Direct
0.404 0.404 0.192
0.596 0.596 0.808
0.750 0.250 0.500
0.250 0.750 0.500
0.000 0.000 0.000
```

---

4.
An optimized crystal structure of Cd2CuAu. Source: the Alexandria database, functional PBE-GGA.

Output
- Formation energy from the elements: -0.045 eV/atom

Structure (POSCAR):
```
Cd2CuAu
1.0
-1.866 2.370 1.360
-2.380 -2.216 0.597
2.712 -1.300 5.987
Au Cd Cu
1 2 1
Direct
0.500 0.500 0.719
0.000 0.000 0.982
0.500 0.500 0.283
0.000 0.000 0.516
```

---

5.
An optimized crystal structure of CdCu2Au2. Source: the Alexandria database, functional PBE-GGA.

Output
- Energy above the most stable polymorph in this dataset: 0.165 eV per atom
- Formation energy from the elements: 0.115 eV/atom

Structure (POSCAR):
```
CdCu2Au2
1.0
3.883 0.000 0.000
0.000 3.883 0.000
1.941 1.941 5.989
Au Cd Cu
2 1 2
Direct
0.250 0.750 0.500
0.750 0.250 0.500
0.000 0.000 0.000
0.598 0.598 0.805
0.402 0.402 0.195
```

---

6.
An optimized crystal structure of CdCu2Au9. Source: the Alexandria database, functional PBE-GGA.

Output
- Formation energy from the elements: -0.050 eV/atom

Structure (POSCAR):
```
CdCu2Au9
1.0
4.113 0.000 0.000
0.000 4.113 0.000
0.000 0.000 12.365
Au Cd Cu
9 1 2
Direct
0.000 0.500 0.823
0.500 0.000 0.500
0.500 0.500 0.338
0.000 0.500 0.500
0.500 0.500 0.000
0.500 0.000 0.823
0.500 0.500 0.662
0.000 0.500 0.177
0.500 0.000 0.177
0.000 0.000 0.000
0.000 0.000 0.339
0.000 0.000 0.661
```

---

7.
An optimized crystal structure of CdCuAu. Source: the Alexandria database, functional PBE-GGA.

Output
- Energy above the most stable polymorph in this dataset: 0.059 eV per atom
- Formation energy from the elements: -0.003 eV/atom

Structure (POSCAR):
```
CdCuAu
1.0
-0.714 3.113 -2.815
-3.317 -2.482 -1.904
-4.011 2.478 3.758
Cd Au Cu
2 2 2
Direct
0.000 0.500 0.250
0.000 0.500 0.750
0.500 0.000 0.250
0.500 0.000 0.750
0.000 0.000 0.000
0.000 0.000 0.500
```

---

8.
An optimized crystal structure of CdCuAu4. Source: the Alexandria database, functional PBE-GGA.

Output
- Energy above the most stable polymorph in this dataset: 0.007 eV per atom
- Formation energy from the elements: -0.061 eV/atom

Structure (POSCAR):
```
CdCuAu4
1.0
-1.382 -0.198 4.877
1.484 -3.055 3.768
4.069 0.997 7.951
Au Cu Cd
4 1 1
Direct
0.660 0.660 0.687
0.340 0.340 0.313
0.155 0.155 0.168
0.845 0.845 0.832
0.000 0.000 0.000
0.500 0.500 0.500
```

---

9.
An optimized crystal structure of Cd2CuAu. Source: the Alexandria database, functional PBE-GGA.

Output
- Formation energy from the elements: 0.038 eV/atom

Structure (POSCAR):
```
Cd2CuAu
1.0
9.819 0.045 0.026
9.350 2.998 0.026
9.350 1.484 2.605
Cd Cu Au
2 1 1
Direct
0.239 0.239 0.239
0.006 0.006 0.006
0.497 0.497 0.497
0.758 0.758 0.758
```

---

10.
An optimized crystal structure of CdCu2Au3. Source: the Alexandria database, functional PBE-GGA.

Output
- Formation energy from the elements: -0.082 eV/atom

Structure (POSCAR):
```
CdCu2Au3
1.0
3.024 0.000 0.000
0.000 3.024 0.000
0.000 0.000 10.821
Au Cu Cd
3 2 1
Direct
0.000 0.000 0.000
0.000 0.000 0.307
0.000 0.000 0.693
0.500 0.500 0.847
0.500 0.500 0.153
0.500 0.500 0.500
```

---

11.
An optimized crystal structure of CdCuAu4. Source: the Alexandria database, functional PBE-GGA.

Output
- Energy above the most stable polymorph in this dataset: 0.179 eV per atom
- Formation energy from the elements: 0.111 eV/atom

Structure (POSCAR):
```
CdCuAu4
1.0
0.000 3.888 3.888
3.888 0.000 3.888
3.888 3.888 0.000
Cd Au Cu
1 4 1
Direct
0.750 0.750 0.750
0.876 0.375 0.375
0.375 0.375 0.375
0.375 0.375 0.876
0.375 0.876 0.375
0.000 0.000 0.000
```

---

12.
An optimized crystal structure of Cd2CuAu. Source: the Alexandria database, functional PBE-GGA.

Output
- Formation energy from the elements: 0.012 eV/atom

Structure (POSCAR):
```
Cd2CuAu
1.0
9.592 0.049 0.029
9.113 2.993 0.029
9.113 1.482 2.600
Cd Au Cu
2 1 1
Direct
0.505 0.505 0.505
0.995 0.995 0.995
0.750 0.750 0.750
0.250 0.250 0.250
```

---

13.
An optimized crystal structure of CdCuAu2. Source: the Alexandria database, functional PBE-GGA.

Output
- Formation energy from the elements: -0.039 eV/atom

Structure (POSCAR):
```
CdCuAu2
1.0
-3.062 -2.456 -2.442
-1.678 -3.955 1.706
-4.404 -0.236 1.384
Cu Au Cd
1 2 1
Direct
0.250 0.250 0.250
0.750 0.750 0.750
0.000 0.000 0.000
0.500 0.500 0.500
```

---

14.
An optimized crystal structure of Cd4CuAu. Source: the Alexandria database, functional PBE-GGA.

Output
- Energy above the most stable polymorph in this dataset: 0.000 eV per atom
- Formation energy from the elements: -0.056 eV/atom

Structure (POSCAR):
```
Cd4CuAu
1.0
5.301 -0.169 -1.390
-3.191 4.236 -1.390
0.088 0.169 5.479
Au Cd Cu
1 4 1
Direct
0.000 0.000 0.000
0.090 0.910 0.500
0.410 0.590 0.500
0.910 0.410 0.819
0.590 0.090 0.181
0.500 0.500 0.000
```

---

15.
An optimized crystal structure of CdCu6Au5. Source: the Alexandria database, functional PBE-GGA.

Output
- Formation energy from the elements: -0.039 eV/atom

Structure (POSCAR):
```
CdCu6Au5
1.0
4.161 0.053 0.013
2.160 6.231 0.007
-0.023 0.000 7.115
Cu Au Cd
6 5 1
Direct
0.500 0.000 0.745
0.170 0.660 0.253
0.830 0.340 0.747
0.500 0.000 0.255
0.830 0.340 0.253
0.170 0.660 0.747
0.666 0.669 0.500
0.335 0.330 0.000
0.665 0.670 0.000
0.334 0.331 0.500
0.000 0.000 0.500
0.000 0.000 0.000
```

---

16.
An optimized crystal structure of CdCu6Au12. Source: the Alexandria database, functional PBE-GGA.

Output
- Formation energy from the elements: 0.090 eV/atom

Structure (POSCAR):
```
CdCu6Au12
1.0
7.211 -0.334 -0.401
-1.424 7.077 -0.401
-1.424 -1.659 6.891
Cu Cd Au
6 1 12
Direct
0.430 0.256 0.182
0.744 0.818 0.570
0.256 0.182 0.430
0.570 0.744 0.818
0.818 0.570 0.744
0.182 0.430 0.256
0.000 0.000 0.000
0.159 0.680 0.029
0.029 0.159 0.680
0.636 0.184 0.530
0.816 0.470 0.364
0.971 0.841 0.320
0.470 0.364 0.816
0.184 0.530 0.636
0.680 0.029 0.159
0.841 0.320 0.971
0.320 0.971 0.841
0.364 0.816 0.470
0.530 0.636 0.184
```

---

17.
An optimized crystal structure of Cd2CuAu. Source: the Alexandria database, functional PBE-GGA.

Output
- Formation energy from the elements: 0.021 eV/atom

Structure (POSCAR):
```
Cd2CuAu
1.0
3.202 0.000 0.000
0.000 4.968 0.052
0.000 3.392 4.647
Cu Cd Au
1 2 1
Direct
0.500 0.500 0.500
0.500 0.500 0.000
0.000 0.000 0.000
0.000 0.000 0.500
```

---

18.
An optimized crystal structure of Cd2CuAu. Source: the Alexandria database, functional PBE-GGA.

Output
- Formation energy from the elements: -0.017 eV/atom

Structure (POSCAR):
```
Cd2CuAu
1.0
-2.170 2.226 -3.039
-2.164 -1.934 3.238
0.420 4.297 2.847
Cu Cd Au
1 2 1
Direct
0.000 0.000 0.000
0.333 0.667 0.222
0.667 0.333 0.778
0.000 0.000 0.500
```

---

19.
An optimized crystal structure of Cd2CuAu. Source: the Alexandria database, functional PBE-GGA.

Output
- Formation energy from the elements: -0.055 eV/atom

Structure (POSCAR):
```
Cd2CuAu
1.0
-4.907 -0.419 -2.125
-5.145 -1.165 0.973
-2.429 4.022 0.783
Au Cd Cu
1 2 1
Direct
0.226 0.226 0.237
0.988 0.988 0.034
0.773 0.773 0.700
0.513 0.513 0.529
```

---

20.
An optimized crystal structure of CdCuAu5. Source: the Alexandria database, functional PBE-GGA.

Output
- Energy above the most stable polymorph in this dataset: 0.213 eV per atom
- Formation energy from the elements: 0.214 eV/atom

Structure (POSCAR):
```
CdCuAu5
1.0
-4.972 4.583 -3.440
0.711 -2.688 -4.609
-0.572 -3.205 4.924
Au Cu Cd
5 1 1
Direct
0.713 0.818 0.637
0.077 0.182 0.363
0.283 0.243 0.000
0.283 0.757 0.000
0.969 0.500 0.000
0.586 0.000 0.000
0.621 0.500 0.000
```

---

| no. | V (Å³/cell) | magnetization (μB/atom) |
| --- | --- | --- |
| 1 | 259.7 | 0.00 |
| 2 | 341.3 | 0.00 |
| 3 | 104.9 | 0.00 |
| 4 | 73.3 | 0.00 |
| 5 | 90.3 | 0.00 |
| 6 | 209.2 | 0.00 |
| 7 | 117.0 | 0.00 |
| 8 | 105.9 | 0.00 |
| 9 | 74.9 | 0.00 |
| 10 | 99.0 | 0.00 |
| 11 | 117.5 | 0.00 |
| 12 | 72.7 | 0.00 |
| 13 | 69.9 | 0.00 |
| 14 | 122.6 | 0.00 |
| 15 | 183.6 | 0.00 |
| 16 | 338.4 | 0.00 |
| 17 | 73.4 | 0.00 |
| 18 | 84.7 | 0.00 |
| 19 | 73.0 | 0.00 |
| 20 | 148.4 | 0.00 |